A relaxed structure of Na2Cd3Pd. Source: Alexandria via LeMat-Bulk, functional PBE.

Summary:
The value obtained for the energy relative to the elements is -0.22 eV/atom. The calculation puts the volume at 23.01 Å³ per atom. The calculation puts the density of states at the Fermi level at 1.51 states/eV/f.u. The total energy comes out at -1.98 eV/atom. As for the space group: P6_3/mmc (194).

Cell lengths 5.9951, 5.9951, 8.8698 Å; angles 90.00, 90.00, 120.00 degrees
Element x y z (fractional)
Cd (0.3352, 0.1676, 0.7500)
Cd (0.8324, 0.1676, 0.7500)
Cd (0.8324, 0.6648, 0.7500)
Cd (0.1676, 0.3352, 0.2500)
Cd (0.1676, 0.8324, 0.2500)
Cd (0.6648, 0.8324, 0.2500)
Na (0.3333, 0.6667, 0.9398)
Na (0.6667, 0.3333, 0.0602)
Na (0.6667, 0.3333, 0.4398)
Na (0.3333, 0.6667, 0.5602)
Pd (0.0000, 0.0000, 0.0000)
Pd (0.0000, 0.0000, 0.5000)

=====

A relaxed structure of CaZrAg. Source: Alexandria via LeMat-Bulk, functional PBE.

Summary:
The value obtained for the energy relative to the elements is 0.09 eV/atom. The calculation puts the volume at 25.13 Å³ per atom. The calculation puts the density of states at the Fermi level at 3.28 states/eV/f.u. The total energy comes out at -4.38 eV/atom. The value obtained for the energy relative to the lowest polymorph listed for this composition is 0 meV/atom. As for the space group: I4mm (107).

Cell lengths 6.9713, 6.9707, 3.3937 Å; angles 75.92, 75.90, 28.18 degrees
Element x y z (fractional)
Zr (0.6426, 0.6426, 0.3574)
Ca (0.3461, 0.3461, 0.6539)
Ag (0.0113, 0.0113, 0.9887)

=====

A relaxed structure of Zn2PRu. Source: Alexandria via LeMat-Bulk, functional PBE.

Summary:
The value obtained for the energy relative to the elements is 0.03 eV/atom. The calculation puts the volume at 14.21 Å³ per atom. The calculation puts the density of states at the Fermi level at 2.04 states/eV/f.u. The total energy comes out at -4.28 eV/atom. As for the space group: Cmmm (65).

Cell lengths 4.5558, 4.5558, 3.0519 Å; angles 90.01, 90.01, 116.20 degrees
Element x y z (fractional)
Ru (0.0000, 0.0000, 0.5000)
P (0.5000, 0.5000, 0.5000)
Zn (0.5000, 0.0000, 0.0000)
Zn (0.0000, 0.5000, 0.0000)

=====

A relaxed structure of LiPaNiAu. Source: Alexandria via LeMat-Bulk, functional PBE.

Summary:
The value obtained for the energy relative to the elements is -0.17 eV/atom. The calculation puts the volume at 18.66 Å³ per atom. The calculation puts the density of states at the Fermi level at 3.11 states/eV/f.u. The total energy comes out at -5.29 eV/atom. As for the space group: F-43m (216).

Cell lengths 4.7260, 4.7260, 4.7260 Å; angles 60.00, 60.00, 60.00 degrees
Element x y z (fractional)
Au (0.7500, 0.7500, 0.7500)
Ni (0.2500, 0.2500, 0.2500)
Pa (0.5000, 0.5000, 0.5000)
Li (0.0000, 0.0000, 0.0000)

=====

A relaxed structure of PmZn2Pd6. Source: Alexandria via LeMat-Bulk, functional PBE.

Summary:
The value obtained for the energy relative to the elements is -0.29 eV/atom. The calculation puts the volume at 19.55 Å³ per atom. The calculation puts the density of states at the Fermi level at 6.45 states/eV/f.u. The total energy comes out at -4.56 eV/atom. As for the space group: P-31m (162).

Cell lengths 4.7928, 4.7928, 8.8461 Å; angles 90.00, 90.00, 120.00 degrees
Element x y z (fractional)
Pd (0.0000, 0.6583, 0.2647)
Pd (0.3417, 0.3417, 0.2647)
Pd (0.0000, 0.3417, 0.7353)
Pd (0.6583, 0.6583, 0.7353)
Pd (0.3417, 0.0000, 0.7353)
Pd (0.6583, 0.0000, 0.2647)
Zn (0.6667, 0.3333, 0.5000)
Zn (0.3333, 0.6667, 0.5000)
Pm (0.0000, 0.0000, 0.0000)

=====

A relaxed structure of SbTeO4. Source: Alexandria via LeMat-Bulk, functional PBE.

Summary:
For the energy relative to the elements, uncorrected, the calculation gives -6.00 eV per formula unit. The calculation puts the volume at 14.36 Å³ per atom. The calculation puts the density of states at the Fermi level at 0.73 states/eV/f.u. The total energy comes out at -5.52 eV/atom. The value obtained for the energy relative to the lowest polymorph listed for this composition is 39 meV/atom. As for the space group: I4_1md (109).

Cell lengths 6.0765, 6.0766, 6.0764 Å; angles 67.58, 71.98, 108.02 degrees
Element x y z (fractional)
O (0.2036, 0.7125, 0.4911)
O (0.6922, 0.2465, 0.0613)
O (0.7036, 0.7589, 0.5375)
O (0.7964, 0.3054, 0.4911)
O (0.8078, 0.8043, 0.0035)
O (0.2964, 0.7589, 0.9446)
O (0.3078, 0.2465, 0.4457)
O (0.1922, 0.1887, 0.0035)
Sb (0.0000, 0.7447, 0.2553)
Sb (0.5000, 0.9947, 0.5053)
Te (0.0000, 0.2444, 0.7556)
Te (0.5000, 0.4944, 0.0056)

=====

A relaxed structure of AlPt2Pb. Source: Alexandria via LeMat-Bulk, functional PBE.

Summary:
The value obtained for the energy relative to the elements is -0.22 eV/atom. The calculation puts the volume at 18.25 Å³ per atom. The calculation puts the density of states at the Fermi level at 1.45 states/eV/f.u. The total energy comes out at -5.10 eV/atom. As for the space group: Cmmm (65).

Cell lengths 4.5624, 4.5624, 3.5728 Å; angles 89.94, 89.94, 101.03 degrees
Element x y z (fractional)
Pt (0.5000, 0.5000, 0.0000)
Pt (0.0000, 0.0000, 0.0000)
Al (0.5000, 0.0000, 0.5000)
Pb (0.0000, 0.5000, 0.5000)

=====

A relaxed structure of SrNdZn3. Source: Alexandria via LeMat-Bulk, functional PBE.

Summary:
The value obtained for the energy relative to the elements is -0.24 eV/atom. The calculation puts the volume at 25.43 Å³ per atom. The calculation puts the density of states at the Fermi level at 4.86 states/eV/f.u. The total energy comes out at -2.30 eV/atom. As for the space group: Cmcm (63).

Cell lengths 3.9863, 4.5943, 14.0268 Å; angles 90.00, 98.17, 90.00 degrees
Element x y z (fractional)
Zn (0.3790, 0.2500, 0.7580)
Zn (0.4756, 0.2500, 0.9513)
Zn (0.6210, 0.7500, 0.2420)
Zn (0.5244, 0.7500, 0.0487)
Zn (0.3257, 0.7500, 0.6513)
Zn (0.6743, 0.2500, 0.3487)
Nd (0.2080, 0.7500, 0.4160)
Nd (0.7920, 0.2500, 0.5840)
Sr (0.0730, 0.2500, 0.1459)
Sr (0.9270, 0.7500, 0.8541)

=====

A relaxed structure of RePHO2. Source: Alexandria via LeMat-Bulk, functional PBE.

Summary:
The calculation puts the volume at 13.70 Å³ per atom. The calculation puts the density of states at the Fermi level at 1.14 states/eV/f.u. The total energy comes out at -6.52 eV/atom. The value obtained for the energy relative to the lowest polymorph listed for this composition is 0 meV/atom. As for the space group: P4/mmm (123).

Cell lengths 3.7298, 3.7298, 4.9232 Å; angles 90.00, 90.00, 90.00 degrees
Element x y z (fractional)
H (0.5000, 0.5000, 0.5000)
Re (0.0000, 0.0000, 0.0000)
O (0.0000, 0.5000, 0.0000)
O (0.5000, 0.0000, 0.0000)
P (0.0000, 0.0000, 0.5000)

=====

A relaxed structure of Cd2PRh. Source: Alexandria via LeMat-Bulk, functional PBE.

Summary:
The value obtained for the energy relative to the elements is -0.15 eV/atom. The calculation puts the volume at 18.67 Å³ per atom. The calculation puts the density of states at the Fermi level at 1.31 states/eV/f.u. The total energy comes out at -3.79 eV/atom. As for the space group: Cm (8).

Cell lengths 5.4633, 5.4633, 4.7826 Å; angles 74.80, 74.80, 32.94 degrees
Element x y z (fractional)
P (0.5587, 0.5587, 0.4773)
Rh (0.2131, 0.2131, 0.2356)
Cd (0.9604, 0.9604, 0.0714)
Cd (0.7679, 0.7679, 0.7157)

=====

A relaxed structure of BaRu2Au. Source: Alexandria via LeMat-Bulk, functional PBE.

Summary:
The value obtained for the energy relative to the elements is 0.78 eV/atom. The calculation puts the volume at 19.82 Å³ per atom. The calculation puts the density of states at the Fermi level at 5.29 states/eV/f.u. The total energy comes out at -5.16 eV/atom. The value obtained for the energy relative to the lowest polymorph listed for this composition is 652 meV/atom. As for the space group: R3m (160).

Cell lengths 10.2434, 10.2434, 10.2434 Å; angles 16.91, 16.91, 16.91 degrees
Element x y z (fractional)
Au (0.5121, 0.5121, 0.5121)
Ba (0.7474, 0.7474, 0.7474)
Ru (0.9851, 0.9851, 0.9851)
Ru (0.2553, 0.2553, 0.2553)

=====

A relaxed structure of PmMg2UN4. Source: Alexandria via LeMat-Bulk, functional PBE.

Summary:
For the energy relative to the elements, uncorrected, the calculation gives -8.80 eV per formula unit. The calculation puts the volume at 13.60 Å³ per atom. The calculation puts the density of states at the Fermi level at 2.80 states/eV/f.u. The total energy comes out at -7.67 eV/atom. As for the space group: P2/m (10).

Cell lengths 3.4543, 5.6134, 6.0082 Å; angles 69.04, 90.00, 90.00 degrees
Element x y z (fractional)
Mg (0.5000, 0.0000, 0.5000)
Mg (0.0000, 0.0000, 0.0000)
N (0.5000, 0.2509, 0.7361)
N (0.0000, 0.7361, 0.7194)
N (0.5000, 0.7491, 0.2639)
N (0.0000, 0.2639, 0.2806)
U (0.0000, 0.5000, 0.5000)
Pm (0.5000, 0.5000, 0.0000)